# Tc2NiPbO8 | the Alexandria database | GGA+U | relaxed
data_Tc2NiPbO8
_cell_length_a 5.1844
_cell_length_b 5.1844
_cell_length_c 21.5939
_cell_angle_alpha 90.00
_cell_angle_beta 90.00
_cell_angle_gamma 120.00
_space_group_name_H-M_alt 'R -3'
_space_group_IT_number 148
_space_group_name_Hall '-R 3'
loop_
_atom_site_label
_atom_site_type_symbol
_atom_site_fract_x
_atom_site_fract_y
_atom_site_fract_z
Tc1 Tc 0.0000 0.0000 0.2405
Ni1 Ni 0.0000 0.0000 0.5000
Pb1 Pb 0.0000 0.0000 0.0000
O1 O 0.0000 0.0000 0.3231
O2 O 0.0002 0.3254 0.5558
# Total moment, μB per formula unit: 3.97
# Uncorrected energy, Ha/atom: -0.2469